# 1
A plane-wave DFT calculation with PBE-GGA was carried out for a relaxed LaInAu6 crystal.

Properties
Distance to the lowest polymorph of the same formula in kJ/mol of formula units: 26
Total DFT energy (no corrections) in eV for the cell shown: -30.0
Formation enthalpy at 0 K in eV/atom: -0.33
Total magnetic moment in μB per formula unit: 0.00

Lattice parameters (Å, degrees): 5.5455 5.5455 5.5455 90.00 90.00 90.00
Last column: nearest neighbours and their distance in Å.
Sites, in units of the cell vectors:
In 0.0000 0.0000 0.0000  12 Au 3.09
Au 0.7533 0.0000 0.5000  2 Au 2.74-2.81
Au 0.0000 0.5000 0.7533  2 Au 2.74-2.81
Au 0.2467 0.0000 0.5000  2 Au 2.74-2.81
Au 0.5000 0.2467 0.0000  2 Au 2.74-2.81
La 0.5000 0.5000 0.5000  12 Au 3.11
Au 0.0000 0.5000 0.2467  2 Au 2.74-2.81
Au 0.5000 0.7533 0.0000  2 Au 2.74-2.81

=====

# 2
A plane-wave DFT calculation with PBE-GGA was carried out for a relaxed SrCa2Mg crystal.

Properties
Total DFT energy (no corrections) in eV for the cell shown: -7.1
Formation enthalpy at 0 K in eV/atom: 0.05
Total magnetic moment in μB per formula unit: 0.00

Lattice parameters (Å, degrees): 6.0147 3.8323 6.9771 80.53 90.00 90.00
Last column: nearest neighbours and their distance in Å.
Sites, in units of the cell vectors:
Ca 0.0000 0.0495 0.0176  2 Mg 3.56, 5 Ca 3.65-3.83, 2 Sr 3.81
Mg 0.5000 0.2500 0.2500  4 Ca 3.56, 2 Sr 3.69, 2 Mg 3.83
Ca 0.0000 0.4505 0.4824  2 Mg 3.56, 5 Ca 3.65-3.83, 2 Sr 3.81
Sr 0.5000 0.7500 0.7500  2 Mg 3.69, 4 Ca 3.81, 2 Sr 3.83

=====

# 3
A plane-wave DFT calculation with PBE-GGA was carried out for a relaxed TaCBr2 crystal.

Properties
Distance to the lowest polymorph of the same formula in kJ/mol of formula units: 0
Total DFT energy (no corrections) in eV for the cell shown: -18.0
Formation energy without anion corrections in meV/atom: 1596
Total magnetic moment in μB per formula unit: 0.00

Lattice parameters (Å, degrees): 4.5197 4.5197 4.5197 60.00 60.00 60.00
Last column: nearest neighbours and their distance in Å.
Sites, in units of the cell vectors:
C 0.0000 0.0000 0.0000  8 Br 2.77
Ta 0.5000 0.5000 0.5000  8 Br 2.77
Br 0.7500 0.7500 0.7500  4 C 2.77, 4 Ta 2.77
Br 0.2500 0.2500 0.2500  4 Ta 2.77, 4 C 2.77

=====

# 4
A plane-wave DFT calculation with PBE-GGA was carried out for a relaxed MgFeOs3 crystal.

Properties
Distance to the lowest polymorph of the same formula in kJ/mol of formula units: 0
Total DFT energy (no corrections) in eV for the cell shown: -36.4
Formation enthalpy at 0 K in eV/atom: 1.46
Total magnetic moment in μB per formula unit: 0.00

Lattice parameters (Å, degrees): 4.4389 4.4389 4.4389 90.00 90.00 90.00
Last column: nearest neighbours and their distance in Å.
Sites, in units of the cell vectors:
Fe 0.0000 0.0000 0.0000  6 Os 2.22
Os 0.0000 0.0000 0.5000  2 Fe 2.22
Os 0.5000 0.0000 0.0000  2 Fe 2.22
Os 0.0000 0.5000 0.0000  2 Fe 2.22
Mg 0.5000 0.5000 0.5000  12 Os 3.14

=====

# 5
A plane-wave DFT calculation with PBE-GGA was carried out for a relaxed HgPb2W crystal.

Properties
Total DFT energy (no corrections) in eV for the cell shown: -17.5
Formation enthalpy at 0 K in eV/atom: 0.79
Total magnetic moment in μB per formula unit: 0.00

Lattice parameters (Å, degrees): 5.0976 3.2451 5.8589 74.02 90.00 90.00
Last column: nearest neighbours and their distance in Å.
Sites, in units of the cell vectors:
Pb 0.0000 0.9653 0.9447  3 W 3.05, 4 Hg 3.18, 2 Pb 3.25
Pb 0.5000 0.2865 0.3014  3 Hg 3.00-3.09, 4 W 3.20, 2 Pb 3.25
Hg 0.5000 0.5531 0.7679  2 W 3.00, 7 Pb 3.00-3.18, 2 Hg 3.25
W 0.0000 0.6950 0.4860  2 Hg 3.00, 7 Pb 3.05-3.20, 2 W 3.25

=====

# 6
A plane-wave DFT calculation with PBE-GGA was carried out for a relaxed Tb3Zn2Ni3 crystal.

Properties
Total DFT energy (no corrections) in eV for the cell shown: -147.4
Formation enthalpy at 0 K in eV/atom: -0.38
Total magnetic moment in μB per formula unit: 0.00

Lattice parameters (Å, degrees): 5.6320 7.4575 14.5288 90.00 90.00 90.00
Last column: nearest neighbours and their distance in Å.
Sites, in units of the cell vectors:
Tb 0.3880 0.6836 0.7500  5 Ni 2.92-3.09, 4 Zn 2.98-3.06
Tb 0.8500 0.5427 0.8962  6 Ni 2.82-3.09, 3 Zn 2.99-3.08
Ni 0.9220 0.8104 0.0377  3 Zn 2.38-2.46
Ni 0.5780 0.3104 0.0377  3 Zn 2.38-2.46
Zn 0.3596 0.3909 0.8972  4 Ni 2.38-2.58
Tb 0.8500 0.5427 0.6038  6 Ni 2.82-3.09, 3 Zn 2.99-3.08
Ni 0.0999 0.1731 0.2500  2 Zn 2.58
Ni 0.9220 0.8104 0.4623  3 Zn 2.38-2.46
Ni 0.0780 0.1896 0.5377  3 Zn 2.38-2.46
Ni 0.5999 0.3269 0.7500  2 Zn 2.58
Tb 0.6120 0.3164 0.2500  5 Ni 2.92-3.09, 4 Zn 2.98-3.06
Ni 0.0780 0.1896 0.9623  3 Zn 2.38-2.46
Tb 0.1500 0.4573 0.3962  6 Ni 2.82-3.09, 3 Zn 2.99-3.08
Zn 0.8596 0.1091 0.3972  4 Ni 2.38-2.58
Zn 0.6404 0.6091 0.1028  4 Ni 2.38-2.58
Zn 0.8596 0.1091 0.1028  4 Ni 2.38-2.58
Tb 0.6500 0.0427 0.6038  6 Ni 2.82-3.09, 3 Zn 2.99-3.08
Tb 0.3500 0.9573 0.1038  6 Ni 2.82-3.09, 3 Zn 2.99-3.08
Tb 0.6500 0.0427 0.8962  6 Ni 2.82-3.09, 3 Zn 2.99-3.08
Tb 0.3500 0.9573 0.3962  6 Ni 2.82-3.09, 3 Zn 2.99-3.08
Ni 0.4001 0.6731 0.2500  2 Zn 2.58
Ni 0.5780 0.3104 0.4623  3 Zn 2.38-2.46
Tb 0.8880 0.8164 0.2500  5 Ni 2.92-3.09, 4 Zn 2.98-3.06
Ni 0.4220 0.6896 0.5377  3 Zn 2.38-2.46
Ni 0.4220 0.6896 0.9623  3 Zn 2.38-2.46
Ni 0.9001 0.8269 0.7500  2 Zn 2.58
Zn 0.6404 0.6091 0.3972  4 Ni 2.38-2.58
Zn 0.1404 0.8909 0.8972  4 Ni 2.38-2.58
Tb 0.1120 0.1836 0.7500  5 Ni 2.92-3.09, 4 Zn 2.98-3.06
Zn 0.3596 0.3909 0.6028  4 Ni 2.38-2.58
Tb 0.1500 0.4573 0.1038  6 Ni 2.82-3.09, 3 Zn 2.99-3.08
Zn 0.1404 0.8909 0.6028  4 Ni 2.38-2.58

=====

# 7
A plane-wave DFT calculation with PBE-GGA was carried out for a relaxed TiNbIn2Ag crystal.

Properties
Total DFT energy (no corrections) in eV for the cell shown: -22.2
Formation enthalpy at 0 K in eV/atom: 0.81
Total magnetic moment in μB per formula unit: 0.00

Lattice parameters (Å, degrees): 5.2725 4.6057 5.2725 90.00 90.00 90.00
Last column: nearest neighbours and their distance in Å.
Sites, in units of the cell vectors:
Ag 0.5000 0.5000 0.5000  8 In 3.50, 4 Nb 3.73
Nb 0.0000 0.5000 0.0000  2 Ti 2.30
Ti 0.0000 0.0000 0.0000  2 Nb 2.30
In 0.0000 0.0000 0.5000  2 Ti 2.64
In 0.5000 0.0000 0.0000  2 Ti 2.64

=====

# 8
A plane-wave DFT calculation with PBE-GGA was carried out for a relaxed LiMnBr2 crystal.

Properties
Distance to the lowest polymorph of the same formula in kJ/mol of formula units: 41
Total DFT energy (no corrections) in eV for the cell shown: -16.6
Formation energy without anion corrections in meV/atom: -544
Total magnetic moment in μB per formula unit: 4.10

Lattice parameters (Å, degrees): 3.6717 3.8550 7.4077 107.84 90.00 90.00
Last column: nearest neighbours and their distance in Å.
Sites, in units of the cell vectors:
Br 0.0000 0.6495 0.4824  2 Mn 2.64, 2 Li 2.66
Li 0.5000 0.2500 0.2500  4 Br 2.66
Mn 0.5000 0.7500 0.7500  4 Br 2.64
Br 0.0000 0.8505 0.0176  2 Mn 2.64, 2 Li 2.66